Ho2Mn3Si5 PBEsol relaxed; total energy = -7.49 eV per atom; energy relative to the elements, uncorrected = -0.7005 eV/atom; mass density = 7.26 g/cm³
1.0
10.435 0.000 0.000
0.000 10.435 0.000
0.000 0.000 5.336
Ho Mn Si
8 12 20
Cartesian
0.791 2.464 0.000 Ho
2.464 9.644 0.000 Ho
2.753 4.427 2.668 Ho
4.427 7.682 2.668 Ho
6.008 2.753 2.668 Ho
7.682 6.008 2.668 Ho
7.970 0.791 0.000 Ho
9.644 7.970 0.000 Ho
0.000 5.217 1.334 Mn
0.000 5.217 4.002 Mn
1.266 8.910 2.668 Mn
1.525 1.266 2.668 Mn
3.693 6.483 0.000 Mn
3.951 3.693 0.000 Mn
5.217 0.000 1.334 Mn
5.217 0.000 4.002 Mn
6.483 6.742 0.000 Mn
6.742 3.951 0.000 Mn
8.910 9.169 2.668 Mn
9.169 1.525 2.668 Mn
0.000 0.000 1.375 Si
0.000 0.000 3.961 Si
0.265 3.284 2.668 Si
1.819 7.037 1.334 Si
1.819 7.037 4.002 Si
1.933 4.952 0.000 Si
3.284 10.170 2.668 Si
3.398 1.819 1.334 Si
3.398 1.819 4.002 Si
4.952 8.502 0.000 Si
5.217 5.217 1.293 Si
5.217 5.217 4.043 Si
5.482 1.933 0.000 Si
7.037 8.615 1.334 Si
7.037 8.615 4.002 Si
7.150 0.265 2.668 Si
8.502 5.482 0.000 Si
8.615 3.398 1.334 Si
8.615 3.398 4.002 Si
10.170 7.150 2.668 Si